# 1
Crystalline Li12MgCd2 at its relaxed geometry. Source: Alexandria via LeMat-Bulk, functional PBE.

The structure in POSCAR format:
```
Li12MgCd2
1.0
5.703 -1.559 0.000
-1.559 5.703 0.000
0.000 0.000 19.543
Li Mg Cd
24 2 4
Direct
0.500 0.500 0.784
0.000 0.000 0.784
0.750 0.750 0.924
0.250 0.750 0.862
0.000 0.000 0.356
0.250 0.750 0.138
0.752 0.252 0.606
0.500 0.500 0.356
0.250 0.250 0.924
0.750 0.750 0.076
0.369 0.131 0.501
0.748 0.248 0.394
0.000 0.000 0.644
0.131 0.369 0.499
0.250 0.250 0.076
0.869 0.631 0.499
0.631 0.869 0.501
0.000 0.000 0.216
0.248 0.748 0.606
0.500 0.500 0.644
0.750 0.250 0.862
0.500 0.500 0.216
0.252 0.752 0.394
0.750 0.250 0.138
0.500 0.000 0.000
0.000 0.500 0.000
0.500 0.000 0.269
0.000 0.500 0.270
0.000 0.500 0.731
0.500 0.000 0.730
```

Calculated total energy ... -54.194 eV for the cell shown
Symmetry ... Cmme (67)
Energy relative to the elements ... -0.05 eV/atom
Total moment ... 0.000 μB per cell

---

# 2
Crystalline Li2Mg2Cd at its relaxed geometry. Source: Alexandria via LeMat-Bulk, functional PBE.

The structure in POSCAR format:
```
Li2Mg2Cd
1.0
-1.559 2.591 -2.192
-2.600 0.638 2.604
2.525 7.130 3.452
Mg Li Cd
2 2 1
Direct
0.399 0.399 0.202
0.601 0.601 0.798
0.750 0.250 0.500
0.250 0.750 0.500
0.000 0.000 0.000
```

Calculated total energy ... -7.675 eV for the cell shown
Symmetry ... I4/mmm (139)
Energy above the lowest structure with this stoichiometry ... 197 meV per atom
Energy relative to the elements ... 0.05 eV/atom
Total moment ... 0.000 μB per cell

---

# 3
Crystalline Li4Mg7Cd at its relaxed geometry. Source: Alexandria via LeMat-Bulk, functional PBE.

The structure in POSCAR format:
```
Li4Mg7Cd
1.0
5.236 0.000 0.000
2.618 7.686 1.320
2.618 1.494 6.880
Li Mg Cd
4 7 1
Direct
0.552 0.306 0.591
0.448 0.694 0.409
0.677 0.644 0.002
0.323 0.356 0.998
0.811 0.871 0.507
0.189 0.129 0.493
0.085 0.564 0.266
0.915 0.436 0.734
0.239 0.731 0.791
0.500 0.000 0.000
0.761 0.269 0.209
0.000 0.000 0.000
```

Calculated total energy ... -19.123 eV for the cell shown
Symmetry ... C2/m (12)
Energy relative to the elements ... 0.05 eV/atom
Total moment ... 0.000 μB per cell

---

# 4
Crystalline LiMgCd6 at its relaxed geometry. Source: Alexandria via LeMat-Bulk, functional PBE.

The structure in POSCAR format:
```
LiMgCd6
1.0
-1.658 -3.845 -2.861
-0.441 -3.573 5.056
-4.845 3.434 -1.806
Li Mg Cd
1 1 6
Direct
0.500 0.416 0.584
0.000 0.083 0.917
0.000 0.089 0.419
0.000 0.581 0.911
0.000 0.581 0.419
0.500 0.417 0.084
0.500 0.916 0.583
0.500 0.916 0.084
```

Calculated total energy ... -10.086 eV for the cell shown
Symmetry ... P-6m2 (187)
Energy above the lowest structure with this stoichiometry ... 0 meV per atom
Energy relative to the elements ... -0.14 eV/atom
Total moment ... 0.000 μB per cell

---

# 5
Crystalline Li15MgCd4 at its relaxed geometry. Source: Alexandria via LeMat-Bulk, functional PBE.

The structure in POSCAR format:
```
Li15MgCd4
1.0
-3.147 -0.686 2.663
2.178 -3.092 1.777
8.631 14.015 13.813
Li Mg Cd
15 1 4
Direct
0.500 0.500 0.000
0.500 0.500 0.203
0.500 0.500 0.401
0.500 0.500 0.599
0.500 0.500 0.797
0.500 0.000 0.105
0.500 0.000 0.302
0.500 0.000 0.500
0.500 0.000 0.698
0.500 0.000 0.895
0.000 0.500 0.105
0.000 0.500 0.302
0.000 0.500 0.500
0.000 0.500 0.698
0.000 0.500 0.895
0.000 0.000 0.000
0.000 0.000 0.203
0.000 0.000 0.401
0.000 0.000 0.599
0.000 0.000 0.797
```

Calculated total energy ... -36.678 eV for the cell shown
Symmetry ... P4/mmm (123)
Energy relative to the elements ... -0.14 eV/atom
Total moment ... 0.615 μB per cell

---

# 6
Crystalline Li3MgCd3 at its relaxed geometry. Source: Alexandria via LeMat-Bulk, functional PBE.

The structure in POSCAR format:
```
Li3MgCd3
1.0
-7.045 1.518 1.472
-2.979 -2.175 6.363
-1.702 4.936 5.141
Li Mg Cd
6 2 6
Direct
0.183 0.716 0.179
0.922 0.183 0.179
0.716 0.922 0.179
0.284 0.078 0.821
0.078 0.817 0.821
0.817 0.284 0.821
0.350 0.350 0.951
0.650 0.650 0.049
0.555 0.732 0.647
0.732 0.066 0.647
0.066 0.555 0.647
0.934 0.445 0.353
0.268 0.934 0.353
0.445 0.268 0.353
```

Calculated total energy ... -21.472 eV for the cell shown
Symmetry ... R-3 (148)
Energy above the lowest structure with this stoichiometry ... 50 meV per atom
Energy relative to the elements ... -0.09 eV/atom
Total moment ... 0.000 μB per cell

---

What is the energy relative to the elements in the second record? 0.05 eV/atom